Crystalline Ba2TmFe2O6 at its relaxed geometry, computed with PBE+U.

Output
Its density of states at the Fermi level is 0.00 states/eV/f.u. The calculation puts the size of the total moment at 27.000 Bohr magnetons per cell. The calculation puts the total energy at -6.812 eV per atom.

abc: 6.1282 6.1282 17.1664
angles: 90.00 90.00 120.00
With the nearest neighbours (Å) after each atom.
Space group R-3m (No. 166, hexagonal axes)
One atom of each set of equivalent atoms:
1 Ba 0.0000 0.0000 0.2131 (multiplicity 6)  3 O 2.78
2 Tm 0.0000 0.0000 0.0000 (multiplicity 3)  6 O 2.23
3 Fe 0.0000 0.0000 0.4257 (multiplicity 6)  3 O 1.85
4 O 0.0141 0.5070 0.7511 (multiplicity 18)  1 Fe 1.85